1.
DFT (PBE-GGA) results for a geometry-optimized BeAuNO structure.

Calculated values
Its calculated total energy is -42.7 eV/cell. The value obtained for the energy above the lowest structure with this stoichiometry is 0.0394 eV/atom. Its crystal system is orthorhombic. As for the space-group type: Pmc2_1, No. 26.

Cell lengths 3.028, 4.751, 5.851 Å; angles 90.00, 90.00, 90.00 degrees
Fractional coordinates of all 8 atoms:
Be 0.500 0.001 0.127
N 0.000 0.909 0.262
N 0.000 0.409 0.738
O 0.500 0.339 0.110
O 0.500 0.839 0.890
Au 0.000 0.505 0.389
Be 0.500 0.501 0.873
Au 0.000 0.005 0.611

2.
DFT (PBE-GGA) results for a geometry-optimized BeAuNO structure.

Calculated values
Its calculated total energy is -86.1 eV/cell. The value obtained for the energy above the lowest structure with this stoichiometry is 0.0000 eV/atom. Its crystal system is orthorhombic. As for the space-group type: Pca2_1, No. 29.

Cell lengths 5.311, 6.867, 4.812 Å; angles 90.00, 90.00, 90.00 degrees
Fractional coordinates of all 16 atoms:
Au 0.571 0.927 0.955
O 0.872 0.446 0.167
Be 0.602 0.443 0.005
Au 0.929 0.927 0.455
Au 0.071 0.073 0.955
Be 0.102 0.557 0.005
Be 0.398 0.557 0.505
N 0.918 0.795 0.075
N 0.582 0.795 0.575
O 0.628 0.446 0.667
Be 0.898 0.443 0.505
O 0.128 0.554 0.667
O 0.372 0.554 0.167
N 0.418 0.205 0.075
N 0.082 0.205 0.575
Au 0.429 0.073 0.455

> Which formula does entry 2 have?

BeAuNO

What did the second record say?
DFT (PBE-GGA) results for a geometry-optimized BeAuNO structure.

Calculated values
Its calculated total energy is -86.1 eV/cell. The value obtained for the energy above the lowest structure with this stoichiometry is 0.0000 eV/atom. Its crystal system is orthorhombic. As for the space-group type: Pca2_1, No. 29.

Cell lengths 5.311, 6.867, 4.812 Å; angles 90.00, 90.00, 90.00 degrees
Fractional coordinates of all 16 atoms:
Au 0.571 0.927 0.955
O 0.872 0.446 0.167
Be 0.602 0.443 0.005
Au 0.929 0.927 0.455
Au 0.071 0.073 0.955
Be 0.102 0.557 0.005
Be 0.398 0.557 0.505
N 0.918 0.795 0.075
N 0.582 0.795 0.575
O 0.628 0.446 0.667
Be 0.898 0.443 0.505
O 0.128 0.554 0.667
O 0.372 0.554 0.167
N 0.418 0.205 0.075
N 0.082 0.205 0.575
Au 0.429 0.073 0.455

> Which value of calculated total energy does entry 1 give?

-42.7 eV/cell